Density functional theory data (meta-GGA SCAN) for a crystal of KCr2Te2 relaxed with PBEsol.

Cell and atoms, written as POSCAR:
```
KCr2Te2
1.0
-1.904 1.904 7.964
1.904 -1.904 7.964
1.904 1.904 -7.964
K Cr Te
1 2 2
Direct
0.000 0.000 0.000
0.250 0.750 0.500
0.750 0.250 0.500
0.359 0.359 0.000
0.641 0.641 0.000
```

Results
As for the total energy: -24.100 eV/atom. The symmetry is I4/mmm (139). For the uncorrected formation energy, the calculation gives -0.180 eV/atom. As for the crystal system: tetragonal. The value obtained for the density of states at the Fermi level is 2.08 states/eV/f.u.